Entry from Alexandria: LaY2Cr after structural relaxation (PBE).

a b c (Å): 3.582 3.582 32.008
angles (deg): 90.00 90.00 120.00
Fractional coordinates of all 12 atoms:
La (0.000, 0.000, 0.000)
La (0.333, 0.667, 0.667)
La (0.667, 0.333, 0.333)
Y (0.000, 0.000, 0.236)
Y (0.000, 0.000, 0.764)
Y (0.333, 0.667, 0.431)
Y (0.333, 0.667, 0.903)
Y (0.667, 0.333, 0.097)
Y (0.667, 0.333, 0.569)
Cr (0.000, 0.000, 0.500)
Cr (0.333, 0.667, 0.167)
Cr (0.667, 0.333, 0.833)

Uncorrected energy in eV/atom: -6.50
Theoretical density in g/cm³: 5.2

=====

Entry from Alexandria: LaY2Cr after structural relaxation (PBE).

a b c (Å): 3.708 3.708 8.591
angles (deg): 90.00 90.00 90.00
Fractional coordinates of all 4 atoms:
La (0.000, 0.000, 0.000)
Y (0.000, 0.000, 0.588)
Y (0.500, 0.500, 0.303)
Cr (0.500, 0.500, 0.784)

Uncorrected energy in eV/atom: -6.62
Theoretical density in g/cm³: 5.2

=====

Entry from Alexandria: La2YCr after structural relaxation (PBE).

a b c (Å): 4.932 4.932 9.878
angles (deg): 90.00 90.00 90.00
Fractional coordinates of all 8 atoms:
La (0.000, 0.500, 0.250)
La (0.000, 0.500, 0.750)
La (0.500, 0.000, 0.250)
La (0.500, 0.000, 0.750)
Y (0.000, 0.000, 0.000)
Y (0.500, 0.500, 0.500)
Cr (0.000, 0.000, 0.500)
Cr (0.500, 0.500, 0.000)

Uncorrected energy in eV/atom: -6.13
Theoretical density in g/cm³: 5.8

=====

Entry from Alexandria: LaYCr2 after structural relaxation (PBE).

a b c (Å): 3.654 3.654 7.370
angles (deg): 90.00 90.00 90.00
Fractional coordinates of all 4 atoms:
La (0.000, 0.000, 0.000)
Y (0.000, 0.000, 0.500)
Cr (0.500, 0.500, 0.263)
Cr (0.500, 0.500, 0.737)

Uncorrected energy in eV/atom: -7.21
Theoretical density in g/cm³: 5.6

=====

Entry from Alexandria: La2YCr after structural relaxation (PBE).

a b c (Å): 3.656 3.656 32.015
angles (deg): 90.00 90.00 120.00
Fractional coordinates of all 12 atoms:
La (0.000, 0.000, 0.238)
La (0.000, 0.000, 0.762)
La (0.333, 0.667, 0.429)
La (0.333, 0.667, 0.905)
La (0.667, 0.333, 0.095)
La (0.667, 0.333, 0.571)
Y (0.000, 0.000, 0.000)
Y (0.333, 0.667, 0.667)
Y (0.667, 0.333, 0.333)
Cr (0.000, 0.000, 0.500)
Cr (0.333, 0.667, 0.167)
Cr (0.667, 0.333, 0.833)

Uncorrected energy in eV/atom: -6.10
Theoretical density in g/cm³: 5.6

=====

Entry from Alexandria: LaYCr2 after structural relaxation (PBE).

a b c (Å): 7.314 7.314 7.314
angles (deg): 90.00 90.00 90.00
Fractional coordinates of all 16 atoms:
La (0.000, 0.000, 0.000)
La (0.000, 0.500, 0.500)
La (0.500, 0.000, 0.500)
La (0.500, 0.500, 0.000)
Y (0.000, 0.000, 0.500)
Y (0.000, 0.500, 0.000)
Y (0.500, 0.000, 0.000)
Y (0.500, 0.500, 0.500)
Cr (0.250, 0.250, 0.250)
Cr (0.250, 0.250, 0.750)
Cr (0.250, 0.750, 0.250)
Cr (0.250, 0.750, 0.750)
Cr (0.750, 0.250, 0.250)
Cr (0.750, 0.250, 0.750)
Cr (0.750, 0.750, 0.250)
Cr (0.750, 0.750, 0.750)

Uncorrected energy in eV/atom: -7.20
Theoretical density in g/cm³: 5.6

=====

Entry from Alexandria: LaYCr2 after structural relaxation (PBE).

a b c (Å): 3.585 5.042 10.506
angles (deg): 90.00 90.00 90.00
Fractional coordinates of all 8 atoms:
La (0.000, 0.000, 0.000)
La (0.500, 0.500, 0.500)
Y (0.000, 0.500, 0.224)
Y (0.500, 0.000, 0.724)
Cr (0.000, 0.000, 0.434)
Cr (0.000, 0.500, 0.784)
Cr (0.500, 0.000, 0.284)
Cr (0.500, 0.500, 0.934)

Uncorrected energy in eV/atom: -7.27
Theoretical density in g/cm³: 5.8

=====

Entry from Alexandria: LaYCr after structural relaxation (PBE).

a b c (Å): 5.214 5.214 3.556
angles (deg): 90.00 90.00 120.00
Fractional coordinates of all 3 atoms:
La (0.000, 0.000, 0.000)
Y (0.667, 0.333, 0.423)
Cr (0.333, 0.667, 0.680)

Uncorrected energy in eV/atom: -6.56
Theoretical density in g/cm³: 5.6

=====

Number 1: formation energy from the elements 0.3683 eV/atom, Fermi-level density of states 1.016 states/eV per atom. Number 2: formation energy from the elements 0.2494 eV/atom, Fermi-level density of states 1.053 states/eV per atom. Number 3: formation energy from the elements 0.3507 eV/atom, Fermi-level density of states 1.543 states/eV per atom. Number 4: formation energy from the elements 0.4537 eV/atom, Fermi-level density of states 0.840 states/eV per atom. Number 5: formation energy from the elements 0.3869 eV/atom, Fermi-level density of states 1.414 states/eV per atom. Number 6: formation energy from the elements 0.4609 eV/atom, Fermi-level density of states 0.999 states/eV per atom. Number 7: formation energy from the elements 0.3887 eV/atom, Fermi-level density of states 1.168 states/eV per atom. Number 8: formation energy from the elements 0.4404 eV/atom, Fermi-level density of states 1.366 states/eV per atom.